Record 1
# Na3BiC4O12 (PBE-GGA, optimized geometry)
# calculated volume = 13.24 Å³/atom
# formation energy without anion corrections = -28.1 eV/f.u.
# calculated total energy = -6.617 eV per atom
# density of states at the Fermi level = 8.119 states/eV/f.u.
data_Na3BiC4O12
_symmetry_space_group_name_H-M 'R 3 2'
_symmetry_Int_Tables_number 155
_symmetry_space_group_name_Hall 'R 3 2"'
_cell_length_a 10.1026
_cell_length_b 10.1026
_cell_length_c 8.9910
_cell_angle_alpha 90.00
_cell_angle_beta 90.00
_cell_angle_gamma 120.00
loop_
_atom_site_label
_atom_site_type_symbol
_atom_site_fract_x
_atom_site_fract_y
_atom_site_fract_z
_atom_site_occupancy
Na1 Na 0.0000 0.5266 0.0000 1
Bi1 Bi 0.0000 0.0000 0.0000 1
C1 C 0.0000 0.0000 0.5000 1
C2 C 0.0000 0.4763 0.5000 1
O1 O 0.0000 0.6016 0.5000 1
O2 O 0.0000 0.8736 0.5000 1
O3 O 0.0127 0.2050 0.8427 1

=====

Record 2
# SrZnCuPd3 (PBE-GGA, optimized geometry)
# calculated volume = 19.42 Å³/atom
# formation enthalpy at 0 K = -0.2697 eV/atom
# calculated total energy = -4.041 eV per atom
# density of states at the Fermi level = 2.783 states/eV/f.u.
data_SrZnCuPd3
_symmetry_space_group_name_H-M 'C m c m'
_symmetry_Int_Tables_number 63
_symmetry_space_group_name_Hall '-C 2c 2'
_cell_length_a 6.480
_cell_length_b 12.248
_cell_length_c 5.872
_cell_angle_alpha 90.00
_cell_angle_beta 90.00
_cell_angle_gamma 90.00
loop_
_atom_site_label
_atom_site_type_symbol
_atom_site_fract_x
_atom_site_fract_y
_atom_site_fract_z
_atom_site_occupancy
Sr1 Sr 0.000 0.206 0.250 1
Zn1 Zn 0.000 0.140 0.750 1
Cu1 Cu 0.000 0.437 0.250 1
Pd1 Pd 0.000 0.350 0.750 1
Pd2 Pd 0.210 0.000 0.000 1

=====

Record 3
# DyTm2Sc3Se6 (PBE-GGA, optimized geometry)
# calculated volume = 21.91 Å³/atom
# formation energy without anion corrections = -19.7 eV/f.u.
# calculated total energy = -6.095 eV per atom
# density of states at the Fermi level = 6.251 states/eV/f.u.
data_DyTm2Sc3Se6
_symmetry_space_group_name_H-M 'C 1 2/m 1'
_symmetry_Int_Tables_number 12
_cell_length_a 6.834
_cell_length_b 11.893
_cell_length_c 6.858
_cell_angle_alpha 90.00
_cell_angle_beta 109.42
_cell_angle_gamma 90.00
loop_
_symmetry_equiv_pos_as_xyz
'x,y,z'
'-x,-y,-z'
'-x,y,-z'
'x,-y,z'
'x+1/2,y+1/2,z'
'-x+1/2,-y+1/2,-z'
'-x+1/2,y+1/2,-z'
'x+1/2,-y+1/2,z'
loop_
_atom_site_label
_atom_site_type_symbol
_atom_site_fract_x
_atom_site_fract_y
_atom_site_fract_z
_atom_site_occupancy
Dy1 Dy 0.000 0.000 0.000 1
Tm1 Tm 0.000 0.334 0.000 1
Sc1 Sc 0.000 0.162 0.500 1
Sc2 Sc 0.000 0.500 0.500 1
Se1 Se 0.244 0.331 0.738 1
Se2 Se 0.249 0.500 0.260 1

=====

Record 4
# Y6Cu5Ag (PBE-GGA, optimized geometry)
# calculated volume = 21.69 Å³/atom
# formation enthalpy at 0 K = -0.2525 eV/atom
# calculated total energy = -5.429 eV per atom
# density of states at the Fermi level = 6.057 states/eV/f.u.
data_Y6Cu5Ag
_symmetry_space_group_name_H-M 'C m m m'
_symmetry_Int_Tables_number 65
_symmetry_space_group_name_Hall '-C 2 2'
_cell_length_a 4.983
_cell_length_b 14.953
_cell_length_c 6.987
_cell_angle_alpha 90.00
_cell_angle_beta 90.00
_cell_angle_gamma 90.00
loop_
_atom_site_label
_atom_site_type_symbol
_atom_site_fract_x
_atom_site_fract_y
_atom_site_fract_z
_atom_site_occupancy
Y1 Y 0.000 0.000 0.243 1
Y2 Y 0.000 0.330 0.247 1
Cu1 Cu 0.000 0.165 0.000 1
Cu2 Cu 0.000 0.165 0.500 1
Cu3 Cu 0.000 0.500 0.000 1
Ag1 Ag 0.000 0.500 0.500 1

=====

Record 5
# VZnPb3 (PBE-GGA, optimized geometry)
# calculated volume = 29.80 Å³/atom
# formation enthalpy at 0 K = 0.4105 eV/atom
# calculated total energy = -3.893 eV per atom
# density of states at the Fermi level = 2.480 states/eV/f.u.
data_VZnPb3
_symmetry_space_group_name_H-M 'P m -3 m'
_symmetry_Int_Tables_number 221
_symmetry_space_group_name_Hall '-P 4 2 3'
_cell_length_a 5.301
_cell_length_b 5.301
_cell_length_c 5.301
_cell_angle_alpha 90.00
_cell_angle_beta 90.00
_cell_angle_gamma 90.00
loop_
_atom_site_label
_atom_site_type_symbol
_atom_site_fract_x
_atom_site_fract_y
_atom_site_fract_z
_atom_site_occupancy
V1 V 0.000 0.000 0.000 1
Zn1 Zn 0.500 0.500 0.500 1
Pb1 Pb 0.000 0.000 0.500 1

=====

Record 6
# Pa4As2POs (PBE-GGA, optimized geometry)
# calculated volume = 23.45 Å³/atom
# formation enthalpy at 0 K = -0.9034 eV/atom
# calculated total energy = -8.894 eV per atom
# density of states at the Fermi level = 11.281 states/eV/f.u.
data_Pa4As2POs
_symmetry_space_group_name_H-M 'P 1 2/m 1'
_symmetry_Int_Tables_number 10
_cell_length_a 7.035
_cell_length_b 3.970
_cell_length_c 7.090
_cell_angle_alpha 90.00
_cell_angle_beta 108.68
_cell_angle_gamma 90.00
loop_
_symmetry_equiv_pos_as_xyz
'x,y,z'
'-x,-y,-z'
'-x,y,-z'
'x,-y,z'
loop_
_atom_site_label
_atom_site_type_symbol
_atom_site_fract_x
_atom_site_fract_y
_atom_site_fract_z
_atom_site_occupancy
Pa1 Pa 0.239 0.000 0.231 1
Pa2 Pa 0.252 0.500 0.766 1
As1 As 0.000 0.000 0.500 1
As2 As 0.500 0.500 0.500 1
P1 P 0.500 0.000 0.000 1
Os1 Os 0.000 0.500 0.000 1

=====

Record 7
# Cs12Hg5Pd3 (PBE-GGA, optimized geometry)
# calculated volume = 63.00 Å³/atom
# formation enthalpy at 0 K = 0.0803 eV/atom
# calculated total energy = -1.286 eV per atom
# density of states at the Fermi level = 22.561 states/eV/f.u.
data_Cs12Hg5Pd3
_symmetry_space_group_name_H-M 'I a -3 d'
_symmetry_Int_Tables_number 230
_symmetry_space_group_name_Hall '-I 4bd 2c 3'
_cell_length_a 21.601
_cell_length_b 21.601
_cell_length_c 21.601
_cell_angle_alpha 90.00
_cell_angle_beta 90.00
_cell_angle_gamma 90.00
loop_
_atom_site_label
_atom_site_type_symbol
_atom_site_fract_x
_atom_site_fract_y
_atom_site_fract_z
_atom_site_occupancy
Cs1 Cs 0.022 0.089 0.651 1
Hg1 Hg 0.000 0.000 0.000 1
Hg2 Hg 0.000 0.250 0.375 1
Pd1 Pd 0.000 0.250 0.125 1

=====

Record 8
# InGe2Ir (PBE-GGA, optimized geometry)
# calculated volume = 20.83 Å³/atom
# formation enthalpy at 0 K = 0.0171 eV/atom
# calculated total energy = -5.191 eV per atom
# density of states at the Fermi level = 1.604 states/eV/f.u.
data_InGe2Ir
_symmetry_space_group_name_H-M 'R -3 m'
_symmetry_Int_Tables_number 166
_symmetry_space_group_name_Hall '-R 3 2"'
_cell_length_a 3.2944
_cell_length_b 3.2944
_cell_length_c 26.5916
_cell_angle_alpha 90.00
_cell_angle_beta 90.00
_cell_angle_gamma 120.00
loop_
_atom_site_label
_atom_site_type_symbol
_atom_site_fract_x
_atom_site_fract_y
_atom_site_fract_z
_atom_site_occupancy
In1 In 0.0000 0.0000 0.0000 1
Ge1 Ge 0.0000 0.0000 0.1040 1
Ir1 Ir 0.0000 0.0000 0.5000 1

=====

Record 9
# Ba2BiCl3O3 (PBE-GGA, optimized geometry)
# calculated volume = 22.13 Å³/atom
# formation energy without anion corrections = -13.2 eV/f.u.
# calculated total energy = -4.590 eV per atom
# density of states at the Fermi level = 9.265 states/eV/f.u.
data_Ba2BiCl3O3
_symmetry_space_group_name_H-M 'P -6 2 m'
_symmetry_Int_Tables_number 189
_symmetry_space_group_name_Hall 'P -6 -2'
_cell_length_a 7.5531
_cell_length_b 7.5531
_cell_length_c 4.0313
_cell_angle_alpha 90.00
_cell_angle_beta 90.00
_cell_angle_gamma 120.00
loop_
_atom_site_label
_atom_site_type_symbol
_atom_site_fract_x
_atom_site_fract_y
_atom_site_fract_z
_atom_site_occupancy
Ba1 Ba 0.3333 0.6667 0.0000 1
Bi1 Bi 0.0000 0.0000 0.5000 1
Cl1 Cl 0.0000 0.4149 0.5000 1
O1 O 0.0000 0.7964 0.0000 1

=====

Record 10
# NaSnB (PBE-GGA, optimized geometry)
# calculated volume = 20.82 Å³/atom
# formation enthalpy at 0 K = 0.5291 eV/atom
# calculated total energy = -3.471 eV per atom
# density of states at the Fermi level = 0.576 states/eV/f.u.
data_NaSnB
_symmetry_space_group_name_H-M 'P m m n'
_symmetry_Int_Tables_number 59
_cell_length_a 3.774
_cell_length_b 4.926
_cell_length_c 6.717
_cell_angle_alpha 90.00
_cell_angle_beta 90.00
_cell_angle_gamma 90.00
loop_
_symmetry_equiv_pos_as_xyz
'x,y,z'
'-x,-y,-z'
'-x+1/2,-y+1/2,z'
'x+1/2,y+1/2,-z'
'x+1/2,-y,-z'
'-x+1/2,y,z'
'-x,y+1/2,-z'
'x,-y+1/2,z'
loop_
_atom_site_label
_atom_site_type_symbol
_atom_site_fract_x
_atom_site_fract_y
_atom_site_fract_z
_atom_site_occupancy
Na1 Na 0.250 0.250 0.144 1
Sn1 Sn 0.250 0.250 0.642 1
B1 B 0.250 0.750 0.570 1

=====

Record 11
# LiSmNp2S5 (PBE-GGA, optimized geometry)
# calculated volume = 27.56 Å³/atom
# formation energy without anion corrections = -8.5 eV/f.u.
# calculated total energy = -6.846 eV per atom
# density of states at the Fermi level = 12.224 states/eV/f.u.
data_LiSmNp2S5
_symmetry_space_group_name_H-M 'P 4/m m m'
_symmetry_Int_Tables_number 123
_symmetry_space_group_name_Hall '-P 4 2'
_cell_length_a 5.081
_cell_length_b 5.081
_cell_length_c 9.605
_cell_angle_alpha 90.00
_cell_angle_beta 90.00
_cell_angle_gamma 90.00
loop_
_atom_site_label
_atom_site_type_symbol
_atom_site_fract_x
_atom_site_fract_y
_atom_site_fract_z
_atom_site_occupancy
Li1 Li 0.000 0.000 0.000 1
Sm1 Sm 0.000 0.000 0.500 1
Np1 Np 0.500 0.500 0.279 1
S1 S 0.000 0.000 0.224 1
S2 S 0.000 0.500 0.500 1
S3 S 0.500 0.500 0.000 1

=====

Record 12
# DyTlSb2 (PBE-GGA, optimized geometry)
# polymorph energy (0 for the lowest one) = 172.1 meV per atom
# calculated volume = 31.99 Å³/atom
# formation energy without anion corrections = -1.2 eV/f.u.
# calculated total energy = -4.111 eV per atom
# density of states at the Fermi level = 2.537 states/eV/f.u.
data_DyTlSb2
_symmetry_space_group_name_H-M 'R -3 m'
_symmetry_Int_Tables_number 166
_symmetry_space_group_name_Hall '-R 3 2"'
_cell_length_a 4.3069
_cell_length_b 4.3069
_cell_length_c 23.8935
_cell_angle_alpha 90.00
_cell_angle_beta 90.00
_cell_angle_gamma 120.00
loop_
_atom_site_label
_atom_site_type_symbol
_atom_site_fract_x
_atom_site_fract_y
_atom_site_fract_z
_atom_site_occupancy
Dy1 Dy 0.0000 0.0000 0.0000 1
Tl1 Tl 0.0000 0.0000 0.5000 1
Sb1 Sb 0.0000 0.0000 0.2563 1

=====

- Look up the calculated volume of the seventh one.
  63.00 Å³/atom